Entry 1:
Compound: AlTlIr3
Source: Alexandria
Functional: PBE
Structure: relaxed

Calculated values
Energy of formation from the pure elements, kJ per mole of atoms: 83.6
Size of the total moment, μB per formula unit: 0.00

a = 4.526 Å, b = 4.526 Å, c = 4.526 Å
α = 90.00°, β = 90.00°, γ = 90.00°
Atoms (fractional coordinates):
Tl1 0.500 0.500 0.500
Ir1 0.000 0.500 0.000
Ir2 0.000 0.000 0.500
Ir3 0.500 0.000 0.000
Al1 0.000 0.000 0.000

***

Entry 2:
Compound: AlTlIr2
Source: Alexandria
Functional: PBE
Structure: relaxed

Calculated values
Energy of formation from the pure elements, kJ per mole of atoms: 19.3
Size of the total moment, μB per formula unit: 0.00

a = 5.107 Å, b = 5.107 Å, c = 5.107 Å
α = 134.97°, β = 134.97°, γ = 65.58°
Atoms (fractional coordinates):
Tl1 0.500 0.500 0.000
Ir1 0.000 0.000 0.000
Ir2 0.250 0.750 0.500
Al1 0.750 0.250 0.500

***

Entry 3:
Compound: AlTlIr2
Source: Alexandria
Functional: PBE
Structure: relaxed

Calculated values
Energy of formation from the pure elements, kJ per mole of atoms: 3.1
Size of the total moment, μB per formula unit: 0.00

a = 4.512 Å, b = 4.512 Å, c = 4.512 Å
α = 60.00°, β = 60.00°, γ = 60.00°
Atoms (fractional coordinates):
Tl1 0.500 0.500 0.500
Ir1 0.250 0.250 0.250
Ir2 0.750 0.750 0.750
Al1 0.000 0.000 0.000

***

Entry 4:
Compound: AlTlIr
Source: Alexandria
Functional: PBE
Structure: relaxed

Calculated values
Energy of formation from the pure elements, kJ per mole of atoms: -5.6
Size of the total moment, μB per formula unit: 0.00

a = 6.443 Å, b = 6.443 Å, c = 3.108 Å
α = 76.04°, β = 76.04°, γ = 27.91°
Atoms (fractional coordinates):
Tl1 0.323 0.323 0.677
Ir1 0.637 0.637 0.363
Al1 0.040 0.040 0.960

***

Entry 5:
Compound: Al2TlIr
Source: Alexandria
Functional: PBE
Structure: relaxed

Calculated values
Energy of formation from the pure elements, kJ per mole of atoms: -13.6
Size of the total moment, μB per formula unit: 0.00

a = 4.688 Å, b = 4.688 Å, c = 6.775 Å
α = 69.57°, β = 69.57°, γ = 37.26°
Atoms (fractional coordinates):
Tl1 0.163 0.163 0.246
Ir1 0.533 0.533 0.652
Al1 0.993 0.993 0.960
Al2 0.812 0.812 0.642

***

Entry 6:
Compound: Al2TlIr
Source: Alexandria
Functional: PBE
Structure: relaxed

Calculated values
Energy of formation from the pure elements, kJ per mole of atoms: 14.3
Size of the total moment, μB per formula unit: 0.00

a = 6.410 Å, b = 4.830 Å, c = 3.134 Å
α = 90.13°, β = 60.51°, γ = 120.26°
Atoms (fractional coordinates):
Tl1 0.500 0.500 0.000
Ir1 0.000 0.500 0.500
Al1 0.000 0.000 0.000
Al2 0.500 0.000 0.500